# 1
{
  "formula": "Zn4Cd",
  "functional": "PBE",
  "state": "relaxed",
  "delta_e_f_kj_per_mol_atoms": 7.87,
  "crystal_system": "orthorhombic",
  "sg": "Cmcm (63)",
  "de_polymorph_ev_per_atom": 0.014,
  "cell": [[2.164, -6.519, 0.000], [2.164, 6.519, 0.000], [0.000, 0.000, 6.013]],
  "species": ["Zn", "Zn", "Zn", "Zn", "Zn", "Zn", "Zn", "Zn", "Cd", "Cd"],
  "fractional_positions": [[0.000, 0.000, 0.000], [0.000, 0.000, 0.500], [0.197, 0.803, 0.518], [0.197, 0.803, 0.982], [0.376, 0.624, 0.250], [0.624, 0.376, 0.750], [0.803, 0.197, 0.018], [0.803, 0.197, 0.482], [0.403, 0.597, 0.750], [0.597, 0.403, 0.250]]
}

***

# 2
{
  "formula": "CaLa3Ru",
  "functional": "PBE",
  "state": "relaxed",
  "delta_e_f_kj_per_mol_atoms": 77.87,
  "crystal_system": "hexagonal",
  "sg": "P6_3/mmc (194)",
  "de_polymorph_ev_per_atom": 0.978,
  "cell": [[4.704, 0.000, 0.000], [-2.352, 4.074, 0.000], [0.000, 0.000, 18.547]],
  "species": ["Ca", "Ca", "La", "La", "La", "La", "La", "La", "Ru", "Ru"],
  "fractional_positions": [[0.333, 0.667, 0.250], [0.667, 0.333, 0.750], [0.000, 0.000, 0.250], [0.000, 0.000, 0.750], [0.333, 0.667, 0.067], [0.333, 0.667, 0.433], [0.667, 0.333, 0.567], [0.667, 0.333, 0.933], [0.000, 0.000, 0.000], [0.000, 0.000, 0.500]]
}

***

# 3
{
  "formula": "LiSc2MnPd",
  "functional": "PBE",
  "state": "relaxed",
  "delta_e_f_kj_per_mol_atoms": 36.40,
  "crystal_system": "tetragonal",
  "sg": "P4/mmm (123)",
  "cell": [[4.604, 0.000, 0.000], [0.000, 4.604, 0.000], [0.000, 0.000, 4.430]],
  "species": ["Li", "Sc", "Sc", "Mn", "Pd"],
  "fractional_positions": [[0.000, 0.000, 0.000], [0.000, 0.500, 0.500], [0.500, 0.000, 0.500], [0.000, 0.000, 0.500], [0.500, 0.500, 0.000]]
}

***

# 4
{
  "formula": "SnTe2Pb2",
  "functional": "PBE",
  "state": "relaxed",
  "crystal_system": "tetragonal",
  "sg": "I4/mmm (139)",
  "e_form_raw_ev_per_atom": 0.033,
  "de_polymorph_ev_per_atom": 0.137,
  "cell": [[-3.103, 3.103, 4.709], [3.103, -3.103, 4.709], [3.103, 3.103, -4.709]],
  "species": ["Sn", "Te", "Te", "Pb", "Pb"],
  "fractional_positions": [[0.000, 0.000, 0.000], [0.250, 0.750, 0.500], [0.750, 0.250, 0.500], [0.332, 0.332, 0.000], [0.668, 0.668, 0.000]]
}